[1]
DFT (PBE) results for a relaxed LiCrIn4 crystal.

abc: 5.9732 5.9732 5.9732
angles: 60.00 60.00 60.00
Last column: nearest neighbours and their distance in Å.
Fractional positions:
In (0.8754, 0.3749, 0.3749)  6 In 2.98-2.99
In (0.3749, 0.3749, 0.3749)  6 In 2.98-2.99
In (0.3749, 0.3749, 0.8754)  6 In 2.98-2.99
In (0.3749, 0.8754, 0.3749)  6 In 2.98-2.99
Cr (0.0000, 0.0000, 0.0000)  12 In 3.50, 4 Li 3.66
Li (0.7500, 0.7500, 0.7500)  12 In 3.50, 4 Cr 3.66

Computed properties:
The calculated formation energy is 31 kJ per mole of atoms. As for the total energy: -3.4225 eV per atom. For the calculated volume, the calculation gives 25.1 Å³ per atom. The calculation puts the calculated density at 5.71 g/cm3. As for the space group: F-43m, No. 216.



[2]
DFT (PBE) results for a relaxed Ca2PmIn2 crystal.

abc: 5.3243 5.3243 6.7948
angles: 90.00 90.00 120.00
Last column: nearest neighbours and their distance in Å.
Fractional positions:
Ca (0.3333, 0.6667, 0.6572)  5 In 3.30-3.46
In (0.3333, 0.6667, 0.1656)  3 Pm 3.27, 5 Ca 3.30-3.46
Ca (0.6667, 0.3333, 0.3428)  5 In 3.30-3.46
Pm (0.0000, 0.0000, 0.0000)  6 In 3.27
In (0.6667, 0.3333, 0.8344)  3 Pm 3.27, 5 Ca 3.30-3.46

Computed properties:
As for the relative energy among the computed polymorphs: 111 meV/atom. The calculated formation energy is -28 kJ per mole of atoms. As for the total energy: -3.1367 eV per atom. For the calculated volume, the calculation gives 33.4 Å³ per atom. The calculation puts the calculated density at 4.53 g/cm3. As for the space group: P-3m1, No. 164.



[3]
DFT (PBE) results for a relaxed KSiN2 crystal.

abc: 5.5385 5.5385 5.5650
angles: 60.16 60.16 90.00
Last column: nearest neighbours and their distance in Å.
Fractional positions:
N (0.3750, 0.6250, 0.7500)  2 Si 1.70
Si (0.2500, 0.7500, 0.5000)  4 N 1.70
K (0.0000, 0.0000, 0.0000)  12 N 3.25-3.27, 4 Si 3.40, 4 K 3.40
Si (0.5000, 0.5000, 0.0000)  4 N 1.70
N (0.3750, 0.6250, 0.2500)  2 Si 1.70
K (0.7500, 0.2500, 0.5000)  12 N 3.25-3.27, 4 Si 3.40, 4 K 3.40
N (0.8750, 0.6250, 0.7500)  2 Si 1.70
N (0.3750, 0.1250, 0.2500)  2 Si 1.70

Computed properties:
As for the total energy: -6.3300 eV per atom. For the calculated volume, the calculation gives 15.2 Å³ per atom. The calculation puts the calculated density at 2.61 g/cm3. As for the space group: I4_1/amd, No. 141.



[4]
DFT (PBE) results for a relaxed TbTaMo4 crystal.

abc: 5.3932 5.3932 5.3932
angles: 60.00 60.00 60.00
Last column: nearest neighbours and their distance in Å.
Fractional positions:
Mo (0.1245, 0.6252, 0.6252)  6 Mo 2.69-2.70
Ta (0.0000, 0.0000, 0.0000)  12 Mo 3.16, 4 Tb 3.30
Mo (0.6252, 0.6252, 0.1245)  6 Mo 2.69-2.70
Tb (0.2500, 0.2500, 0.2500)  12 Mo 3.16, 4 Ta 3.30
Mo (0.6252, 0.1245, 0.6252)  6 Mo 2.69-2.70
Mo (0.6252, 0.6252, 0.6252)  6 Mo 2.69-2.70

Computed properties:
The calculated formation energy is 9 kJ per mole of atoms. As for the total energy: -9.8743 eV per atom. For the calculated volume, the calculation gives 18.5 Å³ per atom. The calculation puts the calculated density at 10.83 g/cm3. As for the space group: F-43m, No. 216.



Among the records above, which one has the lowest calculated volume? KSiN2



Number 1 is which compound? LiCrIn4



Which formula does entry 3 have? KSiN2